The following is a PBEsol calculation of a relaxed structure of Mg2CdSb, from Alexandria.

Computed properties:
E: -2.391 eV per atom
raw formation energy: -94 meV/atom

Lattice parameters (Å, degrees): 3.419 4.392 6.099 90.00 90.00 90.00
Space group Pmm2 (No. 25)
One atom of each set of equivalent atoms:
Mg  0.000  0.000  0.000 (multiplicity 1)
Mg  0.500  0.500  0.291 (multiplicity 1)
Cd  0.500  0.500  0.807 (multiplicity 1)
Sb  0.000  0.000  0.497 (multiplicity 1)

---

The following is a PBEsol calculation of a relaxed structure of MgCd2Sb, from Alexandria.

Computed properties:
E: -2.231 eV per atom
raw formation energy: -64 meV/atom

Lattice parameters (Å, degrees): 4.297 4.297 9.818 90.00 90.00 90.00
Space group I4/mmm (No. 139)
One atom of each set of equivalent atoms:
Mg  0.000  0.000  0.000 (multiplicity 2)
Cd  0.000  0.500  0.250 (multiplicity 4)
Sb  0.000  0.000  0.500 (multiplicity 2)

---

The following is a PBEsol calculation of a relaxed structure of MgCd2Sb, from Alexandria.

Computed properties:
E: -2.196 eV per atom
raw formation energy: -29 meV/atom

Lattice parameters (Å, degrees): 9.948 3.410 5.486 90.00 99.98 90.00
Space group Cm (No. 8)
One atom of each set of equivalent atoms:
Mg  0.000  0.000  0.000 (multiplicity 2)
Cd  0.006  0.500  0.534 (multiplicity 2)
Cd  0.253  0.000  0.734 (multiplicity 2)
Sb  0.244  0.500  0.229 (multiplicity 2)

---

The following is a PBEsol calculation of a relaxed structure of MgCd2Sb, from Alexandria.

Computed properties:
E: -2.234 eV per atom
raw formation energy: -67 meV/atom

Lattice parameters (Å, degrees): 4.255 3.203 13.510 90.00 90.00 90.00
Space group Amm2 (No. 38)
One atom of each set of equivalent atoms:
Mg  0.000  0.000  0.000 (multiplicity 2)
Cd  0.000  0.000  0.229 (multiplicity 2)
Cd  0.500  0.000  0.626 (multiplicity 2)
Sb  0.500  0.000  0.392 (multiplicity 2)